[1]
Here is a geometry-optimized HoSi2Ir2 structure from the Alexandria database. Energies are from PBE.

The value obtained for the total magnetic moment is 0.00 μB/cell. The calculation puts the uncorrected formation energy at -1.08 eV/atom. The density of states at the Fermi level comes out at 0.42 states/eV/atom.

The structure belongs to space group I4/mmm (No. 139); the cell edges are 4.077, 4.077 and 9.940 Å and the angles 90.00°, 90.00° and 90.00°. Symmetry generates all atoms from Ho at (0.000, 0.000, 0.000), Si at (0.000, 0.000, 0.379) and Ir at (0.000, 0.500, 0.250).

[2]
Here is a geometry-optimized BeSb2Au structure from the Alexandria database. Energies are from PBE.

The value obtained for the total magnetic moment is 0.00 μB/cell. The calculation puts the uncorrected formation energy at 0.17 eV/atom. The density of states at the Fermi level comes out at 0.28 states/eV/atom.

The structure belongs to space group Cmm2 (No. 35); the cell edges are 4.243, 5.295 and 8.001 Å and the angles 90.00°, 90.00° and 90.00°. Symmetry generates all atoms from Be at (0.000, 0.000, 0.000), Sb at (0.000, 0.000, 0.366), Sb at (0.000, 0.500, 0.781) and Au at (0.000, 0.500, 0.127).

[3]
Here is a geometry-optimized Ac6Hg5Br structure from the Alexandria database. Energies are from PBE.

The value obtained for the total magnetic moment is 0.01 μB/cell. The calculation puts the uncorrected formation energy at -0.55 eV/atom. The density of states at the Fermi level comes out at 1.24 states/eV/atom.

The structure belongs to space group Immm (No. 71); the cell edges are 5.689, 8.145 and 17.136 Å and the angles 90.00°, 90.00° and 90.00°. Symmetry generates all atoms from Ac at (0.000, 0.250, 0.000), Ac at (0.000, 0.250, 0.335), Hg at (0.000, 0.000, 0.168), Hg at (0.000, 0.500, 0.170), Hg at (0.000, 0.500, 0.500) and Br at (0.000, 0.000, 0.500).

[4]
Here is a geometry-optimized AlCdSi structure from the Alexandria database. Energies are from PBE.

The value obtained for the total magnetic moment is 0.00 μB/cell. The calculation puts the uncorrected formation energy at 0.28 eV/atom. The density of states at the Fermi level comes out at 0.35 states/eV/atom.

The structure belongs to space group P3m1 (No. 156); the cell edges are 2.9351, 2.9351 and 7.4430 Å and the angles 90.00°, 90.00° and 120.00°. Symmetry generates all atoms from Al at (0.0000, 0.0000, 0.0000), Cd at (0.3333, 0.6667, 0.3552) and Si at (0.6667, 0.3333, 0.7161).

[5]
Here is a geometry-optimized YRe2Cl structure from the Alexandria database. Energies are from PBE.

The value obtained for the total magnetic moment is 0.00 μB/cell. The calculation puts the uncorrected formation energy at 0.91 eV/atom. Its energy above the lowest structure with this stoichiometry is 1105 meV/atom. The density of states at the Fermi level comes out at 0.88 states/eV/atom.

The structure belongs to space group Cmmm (No. 65); the cell edges are 3.078, 4.949 and 9.350 Å and the angles 90.00°, 90.00° and 90.00°. Symmetry generates all atoms from Y at (0.000, 0.000, 0.000), Re at (0.000, 0.500, 0.263) and Cl at (0.000, 0.000, 0.500).

[6]
Here is a geometry-optimized CdFeW2 structure from the Alexandria database. Energies are from PBE.

The value obtained for the total magnetic moment is 0.00 μB/cell. Its formation energy is 86.1 kJ/mol of atoms. The density of states at the Fermi level comes out at 0.17 states/eV/atom.

The structure belongs to space group I-42d (No. 122); the cell edges are 7.258, 7.258 and 5.204 Å and the angles 90.00°, 90.00° and 90.00°. Symmetry generates all atoms from Cd at (0.000, 0.000, 0.000), Fe at (0.000, 0.000, 0.500) and W at (0.182, 0.250, 0.625).

| no. | E_tot (eV per atom) |
| --- | --- |
| 1 | -7.7098 |
| 2 | -3.6441 |
| 3 | -2.8666 |
| 4 | -3.0838 |
| 5 | -7.3914 |
| 6 | -7.9288 |